Computed, not measured: a geometry-optimized Mg2SbRu structure at the PBE level of DFT.

Structure (extended XYZ):
```
4
Lattice="-2.474 2.270 1.168 -1.491 -2.605 1.904 3.401 1.370 4.539" Properties=species:S:1:pos:R:3 pbc="T T T"
Mg 0.092 0.037 0.122
Mg 1.609 0.648 2.147
Ru -1.132 0.175 2.671
Sb 0.568 0.860 4.940
```

Calculated values
- E_form (uncorrected): -5 kJ/mol of atoms
- Crystal system: tetragonal
- Calculated volume: 18.43 A^3/atom
- Magnetization: 0.00 μB per cell
- E_tot: -16.79 eV/cell